No. 1
Cr2FeSe: optimized geometry, GGA-PBE.

Computed properties:
* excess energy over the best structure of this formula in the dataset: 64 meV/atom
* raw formation energy: 0.290 eV/atom
* spin magnetization: 0.56 μB per atom
* N(E_F): 10.29 states/eV per cell

POSCAR file:
```
Cr2FeSe
1.0
3.5622 0.0000 0.0000
0.0000 2.9099 0.0000
0.0000 0.0000 10.1389
Cr Fe Se
4 2 2
Cartesian
0.0000 0.0000 0.0000
0.0000 1.4550 5.0694
1.7811 0.0000 3.5523
1.7811 1.4550 8.6218
1.7811 0.0000 6.0932
1.7811 1.4550 1.0237
0.0000 0.0000 7.6689
0.0000 1.4550 2.5995
```


No. 2
CrFe3Se: optimized geometry, GGA-PBE.

Computed properties:
* raw formation energy: 1.159 eV/atom
* spin magnetization: 0.97 μB per atom
* N(E_F): 5.96 states/eV per cell

POSCAR file:
```
CrFe3Se
1.0
4.3063 0.0000 0.0000
0.0000 4.3063 0.0000
0.0000 0.0000 4.3063
Cr Fe Se
1 3 1
Cartesian
0.0000 0.0000 0.0000
0.0000 0.0000 2.1532
0.0000 2.1532 0.0000
2.1532 0.0000 0.0000
2.1532 2.1532 2.1532
```


No. 3
Cr4FeSe: optimized geometry, GGA-PBE.

Computed properties:
* raw formation energy: 0.528 eV/atom
* spin magnetization: 0.49 μB per atom
* N(E_F): 8.15 states/eV per cell

POSCAR file:
```
Cr4FeSe
1.0
0.0000 3.3821 3.3821
3.3821 0.0000 3.3821
3.3821 3.3821 0.0000
Cr Fe Se
4 1 1
Cartesian
2.5472 2.5472 2.5472
4.2169 4.2169 2.5472
4.2169 2.5472 4.2169
2.5472 4.2169 4.2169
5.0731 5.0731 5.0731
0.0000 0.0000 0.0000
```


No. 4
CrFeSe: optimized geometry, GGA-PBE.

Computed properties:
* excess energy over the best structure of this formula in the dataset: 0 meV/atom
* raw formation energy: 0.056 eV/atom
* spin magnetization: 0.67 μB per atom
* N(E_F): 12.03 states/eV per cell

POSCAR file:
```
CrFeSe
1.0
5.5967 0.0000 0.0000
0.0000 5.5967 0.0000
0.0000 0.0000 5.5967
Cr Fe Se
4 4 4
Cartesian
0.0000 0.0000 0.0000
0.0000 2.7984 2.7984
2.7984 0.0000 2.7984
2.7984 2.7984 0.0000
1.3992 1.3992 1.3992
1.3992 4.1975 4.1975
4.1975 1.3992 4.1975
4.1975 4.1975 1.3992
0.0000 0.0000 2.7984
0.0000 2.7984 0.0000
2.7984 0.0000 0.0000
2.7984 2.7984 2.7984
```


No. 5
TlCrFeSe3: optimized geometry, GGA-PBE.

Computed properties:
* raw formation energy: -0.376 eV/atom
* spin magnetization: 0.99 μB per atom
* N(E_F): 5.40 states/eV per cell

POSCAR file:
```
TlCrFeSe3
1.0
8.3299 0.0000 0.0000
0.0000 3.7121 0.0000
-3.8896 0.0000 9.1113
Tl Cr Fe Se
2 2 2 6
Cartesian
0.9716 0.9280 2.4896
3.4687 2.7841 6.6217
-0.5949 2.7841 7.7659
5.0352 0.9280 1.3454
-1.7999 0.9280 5.4117
6.2402 2.7841 3.6996
-2.3687 0.9280 7.7574
-0.1722 2.7841 5.1544
3.3160 2.7841 1.1597
1.1244 0.9280 7.9517
4.6125 0.9280 3.9569
6.8090 2.7841 1.3539
```


No. 6
Tl2CrFe2Se4: optimized geometry, GGA-PBE.

Computed properties:
* raw formation energy: -0.300 eV/atom
* spin magnetization: 1.05 μB per atom
* N(E_F): 3.17 states/eV per cell

POSCAR file:
```
Tl2CrFe2Se4
1.0
7.3565 -1.8726 0.0000
7.3565 1.8726 0.0000
-2.6357 0.0000 7.4564
Tl Cr Fe Se
2 1 2 4
Cartesian
1.7925 0.0000 0.5341
10.2847 0.0000 6.9223
-1.3178 0.0000 3.7282
3.1684 0.0000 3.9390
8.9088 0.0000 3.5173
0.9615 0.0000 5.0531
5.2153 0.0000 5.2946
6.8620 0.0000 2.1618
11.1158 0.0000 2.4032
```


No. 7
Cr2FeWSe: optimized geometry, GGA-PBE.

Computed properties:
* raw formation energy: 1.212 eV/atom
* spin magnetization: 0.00 μB per atom
* N(E_F): 6.33 states/eV per cell

POSCAR file:
```
Cr2FeWSe
1.0
4.2932 0.0000 0.0000
0.0000 4.2932 0.0000
0.0000 0.0000 4.1270
Cr Fe W Se
2 1 1 1
Cartesian
0.0000 2.1466 0.0000
2.1466 0.0000 0.0000
0.0000 0.0000 2.0635
2.1466 2.1466 2.0635
0.0000 0.0000 0.0000
```


No. 8
Zn3Cr8FeSe16: optimized geometry, GGA-PBE.

Computed properties:
* raw formation energy: -0.542 eV/atom
* spin magnetization: 0.36 μB per atom
* N(E_F): 6.41 states/eV per cell

POSCAR file:
```
Zn3Cr8FeSe16
1.0
3.7433 2.1612 12.1215
-3.7433 2.1612 12.1215
0.0000 -4.3224 12.1215
Zn Cr Fe Se
3 8 1 16
Cartesian
0.0000 0.0000 0.0000
0.0000 0.0000 4.5264
0.0000 0.0000 22.7095
0.0000 -2.1717 8.3057
-1.8807 1.0858 8.3057
-1.8736 -1.0817 14.3905
0.0000 0.0000 11.3247
1.8807 1.0858 8.3056
1.8736 -1.0817 14.3905
0.0000 2.1635 14.3905
0.0000 0.0000 29.6066
0.0000 0.0000 18.1724
-1.9632 -1.1335 19.0065
0.0000 0.0000 6.9997
0.0000 -1.9750 12.9321
-1.7104 0.9875 12.9321
0.0000 -2.3270 21.8805
-2.0152 1.1635 21.8805
0.0000 0.0000 15.7497
-1.7064 -0.9852 27.9824
1.7104 0.9875 12.9320
0.0000 0.0000 25.1843
1.9632 -1.1335 19.0064
0.0000 2.2670 19.0064
1.7064 -0.9852 27.9824
0.0000 1.9703 27.9824
0.0000 0.0000 33.8866
2.0152 1.1635 21.8805
```